Material: HgP3N
Method: DFT, PBE
State: optimized geometry

abc: 4.964 4.964 4.964
angles: 90.00 90.00 90.00
Sites, in units of the cell vectors:
Hg1 0.000 0.000 0.000
P1 0.000 0.000 0.500
P2 0.000 0.500 0.000
P3 0.500 0.000 0.000
N1 0.500 0.500 0.500

- DFT total energy (eV/cell) = -11.467
- Fermi-level density of states (states/eV/cell) = 6.28